Record 1
The following is a GGA-PBE calculation of crystalline Be2CrNi at its relaxed geometry, from the Alexandria database.

Unit cell a=2.5039 b=2.5039 c=5.9966 alpha=90.00 beta=90.00 gamma=90.00
Sites, in units of the cell vectors:
Ni (0.5000, 0.5000, 0.7855)
Be (0.5000, 0.5000, 0.2192)
Be (0.0000, 0.0000, 0.0106)
Cr (0.0000, 0.0000, 0.4848)

Values from the calculation:
The space-group type is P4mm. The calculation puts the density of states at the Fermi level at 2.5 states/eV/f.u. The total energy is -5.835 eV/atom.

---

Record 2
The following is a GGA-PBE calculation of crystalline DyHo6Sc at its relaxed geometry, from the Alexandria database.

Unit cell a=6.6756 b=6.4315 c=6.7602 alpha=77.39 beta=61.85 gamma=91.85
Sites, in units of the cell vectors:
Ho (0.4173, 0.2619, 0.4917)
Ho (0.9041, 0.2270, 0.5324)
Ho (0.4414, 0.2475, 0.0047)
Ho (0.0959, 0.7730, 0.4676)
Ho (0.5586, 0.7525, 0.9953)
Ho (0.5827, 0.7381, 0.5083)
Dy (0.0000, 0.5000, 0.0000)
Sc (0.0000, 0.0000, 0.0000)

Values from the calculation:
Its energy above the most stable polymorph in this dataset is 0.0000 eV per atom. The space-group type is P-1. The calculation puts the density of states at the Fermi level at 13.7 states/eV/f.u. The total energy is -4.590 eV/atom.

---

Record 3
The following is a GGA-PBE calculation of crystalline LiReRh2 at its relaxed geometry, from the Alexandria database.

Unit cell a=6.8730 b=6.8730 c=5.5589 alpha=51.82 beta=51.82 gamma=90.00
Sites, in units of the cell vectors:
Re (0.0000, 0.0000, 0.0000)
Re (0.7500, 0.2500, 0.5000)
Rh (0.6501, 0.1250, 0.2500)
Rh (0.8750, 0.9001, 0.7500)
Rh (0.0999, 0.6250, 0.2500)
Rh (0.3750, 0.3499, 0.7500)
Li (0.5000, 0.5000, 0.0000)
Li (0.2500, 0.7500, 0.5000)

Values from the calculation:
The space-group type is I-42d. The calculation puts the density of states at the Fermi level at 3.1 states/eV/f.u. The total energy is -6.780 eV/atom.

---

Record 4
The following is a GGA-PBE calculation of crystalline BaTbGaO4 at its relaxed geometry, from the Alexandria database.

Unit cell a=5.7771 b=5.8698 c=7.2553 alpha=90.00 beta=108.27 gamma=90.00
Sites, in units of the cell vectors:
Ga (0.2602, 0.7500, 0.3316)
Ga (0.7398, 0.2500, 0.6684)
O (0.9711, 0.4860, 0.6986)
O (0.0289, 0.5140, 0.3014)
O (0.5187, 0.2500, 0.4227)
O (0.0289, 0.9860, 0.3014)
O (0.4571, 0.7500, 0.1724)
O (0.9711, 0.0140, 0.6986)
O (0.5429, 0.2500, 0.8276)
O (0.4813, 0.7500, 0.5773)
Tb (0.8059, 0.7500, 0.4617)
Tb (0.1941, 0.2500, 0.5383)
Ba (0.7136, 0.7500, 0.9330)
Ba (0.2864, 0.2500, 0.0670)

Values from the calculation:
The space-group type is P2_1/m. The calculation puts the density of states at the Fermi level at 0.0 states/eV/f.u. The total energy is -6.873 eV/atom. Its uncorrected formation energy is -2.671 eV/atom.

---

Record 5
The following is a GGA-PBE calculation of crystalline Al3ReNi12 at its relaxed geometry, from the Alexandria database.

Unit cell a=3.5839 b=3.5839 c=14.2571 alpha=90.00 beta=90.00 gamma=90.00
Sites, in units of the cell vectors:
Ni (0.0000, 0.5000, 0.6236)
Ni (0.5000, 0.5000, 0.5000)
Ni (0.5000, 0.0000, 0.8753)
Ni (0.5000, 0.0000, 0.6236)
Ni (0.5000, 0.5000, 0.2504)
Ni (0.5000, 0.5000, 0.7496)
Ni (0.5000, 0.0000, 0.1247)
Ni (0.0000, 0.5000, 0.1247)
Ni (0.0000, 0.5000, 0.8753)
Ni (0.5000, 0.0000, 0.3764)
Ni (0.0000, 0.5000, 0.3764)
Ni (0.5000, 0.5000, 0.0000)
Al (0.0000, 0.0000, 0.7435)
Al (0.0000, 0.0000, 0.2565)
Al (0.0000, 0.0000, 0.5000)
Re (0.0000, 0.0000, 0.0000)

Values from the calculation:
The space-group type is P4/mmm. The calculation puts the density of states at the Fermi level at 15.3 states/eV/f.u. The total energy is -6.140 eV/atom.

---

Record 6
The following is a GGA-PBE calculation of crystalline Ba6TlIn5 at its relaxed geometry, from the Alexandria database.

Unit cell a=6.0477 b=8.5856 c=9.5567 alpha=90.00 beta=72.01 gamma=90.00
Sites, in units of the cell vectors:
Ba (0.1668, 0.7493, 0.6663)
Ba (0.1668, 0.2507, 0.6663)
Ba (0.5000, 0.2509, 0.0000)
Ba (0.8332, 0.7493, 0.3337)
Ba (0.8332, 0.2507, 0.3337)
Ba (0.5000, 0.7491, 0.0000)
In (0.3325, 0.0000, 0.3352)
In (0.0000, 0.5000, 0.0000)
In (0.6675, 0.0000, 0.6648)
In (0.3332, 0.5000, 0.3339)
In (0.6668, 0.5000, 0.6661)
Tl (0.0000, 0.0000, 0.0000)

Values from the calculation:
The space-group type is P2/m. The calculation puts the density of states at the Fermi level at 9.3 states/eV/f.u. The total energy is -2.691 eV/atom.

---

Record 7
The following is a GGA-PBE calculation of crystalline RbNdPtO4 at its relaxed geometry, from the Alexandria database.

Unit cell a=6.6361 b=6.9307 c=7.5521 alpha=123.01 beta=90.00 gamma=118.60
Sites, in units of the cell vectors:
Pt (0.0000, 0.5000, 0.5000)
Pt (0.5000, 0.5000, 0.5000)
O (0.6840, 0.9366, 0.7183)
O (0.7494, 0.4987, 0.6690)
O (0.7494, 0.4987, 0.3297)
O (0.2506, 0.5013, 0.3310)
O (0.7475, 0.0634, 0.2817)
O (0.2525, 0.9366, 0.7183)
O (0.3160, 0.0634, 0.2817)
O (0.2506, 0.5013, 0.6703)
Nd (0.5000, 0.0000, 0.0000)
Nd (0.5000, 0.0000, 0.5000)
Rb (0.1448, 0.2897, 0.8948)
Rb (0.8552, 0.7103, 0.1052)

Values from the calculation:
The space-group type is Imma. The total energy is -6.145 eV/atom. Its uncorrected formation energy is -1.629 eV/atom.

---

Record 8
The following is a GGA-PBE calculation of crystalline MnCo4W at its relaxed geometry, from the Alexandria database.

Unit cell a=4.6519 b=4.6519 c=4.6519 alpha=60.00 beta=60.00 gamma=60.00
Sites, in units of the cell vectors:
Co (0.6244, 0.6244, 0.6244)
Co (0.6244, 0.6244, 0.1268)
Co (0.1268, 0.6244, 0.6244)
Co (0.6244, 0.1268, 0.6244)
W (0.0000, 0.0000, 0.0000)
Mn (0.2500, 0.2500, 0.2500)

Values from the calculation:
Its energy above the most stable polymorph in this dataset is 0.0000 eV per atom. The space-group type is F-43m. The calculation puts the density of states at the Fermi level at 7.7 states/eV/f.u. The total energy is -8.388 eV/atom.

---

Record 9
The following is a GGA-PBE calculation of crystalline BeTc2Mo at its relaxed geometry, from the Alexandria database.

Unit cell a=3.1110 b=3.1110 c=5.6104 alpha=90.00 beta=90.00 gamma=90.00
Sites, in units of the cell vectors:
Be (0.0000, 0.0000, 0.4893)
Tc (0.5000, 0.5000, 0.2920)
Tc (0.0000, 0.0000, 0.9897)
Mo (0.5000, 0.5000, 0.7291)

Values from the calculation:
The space-group type is P4mm. The calculation puts the density of states at the Fermi level at 3.7 states/eV/f.u. The total energy is -8.786 eV/atom.

---

Record 10
The following is a GGA-PBE calculation of crystalline Cs2SmReN4 at its relaxed geometry, from the Alexandria database.

Unit cell a=6.0289 b=7.2559 c=12.5331 alpha=84.27 beta=76.08 gamma=65.45
Sites, in units of the cell vectors:
N (0.8153, 0.8449, 0.9207)
N (0.3398, 0.8449, 0.0793)
N (0.9347, 0.6551, 0.5793)
N (0.2640, 0.1551, 0.9207)
N (0.5809, 0.1551, 0.0793)
N (0.4102, 0.6551, 0.4207)
N (0.1691, 0.3449, 0.4207)
N (0.4860, 0.3449, 0.5793)
Cs (0.1801, 0.0000, 0.6398)
Cs (0.8199, 0.0000, 0.3602)
Cs (0.5699, 0.5000, 0.8602)
Cs (0.9301, 0.5000, 0.1398)
Sm (0.0000, 0.0000, 0.0000)
Sm (0.7500, 0.5000, 0.5000)
Re (0.5000, 0.0000, 0.0000)
Re (0.2500, 0.5000, 0.5000)

Values from the calculation:
The space-group type is Fddd. The calculation puts the density of states at the Fermi level at 0.0 states/eV/f.u. The total energy is -6.862 eV/atom. Its uncorrected formation energy is -0.340 eV/atom.

---

Record 11
The following is a GGA-PBE calculation of crystalline Mg2Mo at its relaxed geometry, from the Alexandria database.

Unit cell a=7.6443 b=7.6443 c=3.3117 alpha=90.00 beta=90.00 gamma=142.74
Sites, in units of the cell vectors:
Mg (0.4156, 0.5844, 0.2500)
Mg (0.7668, 0.2332, 0.2500)
Mg (0.2332, 0.7668, 0.7500)
Mg (0.5844, 0.4156, 0.7500)
Mo (0.9381, 0.0619, 0.7500)
Mo (0.0619, 0.9381, 0.2500)

Values from the calculation:
Its energy above the most stable polymorph in this dataset is 0.0052 eV per atom. The space-group type is Cmcm. The calculation puts the density of states at the Fermi level at 1.7 states/eV/f.u. The total energy is -4.446 eV/atom.